[1]
# Sr2SnSe4

A relaxed structure of Sr2SnSe4 (GGA-PBE, the Alexandria database).

Output
Final energy   -60.52 eV/cell
Excess energy over the best structure of this formula in the dataset   47 meV per atom
Crystal system   monoclinic
Uncorrected formation energy   -1.28 eV/atom
Size of the total moment   0.00 μB/f.u.
Space-group type   P2_1/m (11)
Volume   218.03 Å³/f.u.

Unit cell a=7.3237 b=7.2821 c=8.5640 alpha=90.00 beta=107.30 gamma=90.00
Closest atoms and distances in Å follow each position.
Fractional coordinates of all 14 atoms:
Sr  0.2283  0.2500  0.0598  6 Se 3.18-3.28
Sr  0.2348  0.2500  0.5564  6 Se 3.15-3.26
Sr  0.7652  0.7500  0.4436  6 Se 3.15-3.26
Sr  0.7717  0.7500  0.9402  6 Se 3.18-3.28
Sn  0.2422  0.7500  0.8097  4 Se 2.53-2.56
Sn  0.7578  0.2500  0.1903  4 Se 2.53-2.56
Se  0.0020  0.5115  0.2534  1 Sn 2.56
Se  0.0020  0.9885  0.2534  1 Sn 2.56
Se  0.4321  0.7500  0.6071  1 Sn 2.53
Se  0.4368  0.7500  0.1076  1 Sn 2.53
Se  0.5632  0.2500  0.8924  1 Sn 2.53
Se  0.5679  0.2500  0.3929  1 Sn 2.53
Se  0.9980  0.0115  0.7466  1 Sn 2.56
Se  0.9980  0.4885  0.7466  1 Sn 2.56

=====

[2]
# SrSn3Se

A relaxed structure of SrSn3Se (GGA-PBE, the Alexandria database).

Output
Final energy   -12.11 eV/cell
Excess energy over the best structure of this formula in the dataset   1058 meV per atom
Crystal system   cubic
Uncorrected formation energy   1.01 eV/atom
Size of the total moment   1.68 μB/f.u.
Space-group type   Pm-3m (221)
Volume   226.32 Å³/f.u.

Unit cell a=6.0941 b=6.0941 c=6.0941 alpha=90.00 beta=90.00 gamma=90.00
Closest atoms and distances in Å follow each position.
Fractional coordinates of all 5 atoms:
Sr  0.0000  0.0000  0.0000  6 Sn 3.05
Sn  0.0000  0.0000  0.5000  2 Sr 3.05
Sn  0.0000  0.5000  0.0000  2 Sr 3.05
Sn  0.5000  0.0000  0.0000  2 Sr 3.05
Se  0.5000  0.5000  0.5000  12 Sn 4.31